VASP calculation (PBE-GGA) on a relaxed UPa2Al6 crystal.

```
UPa2Al6
1.0
3.149 0.000 0.001
0.000 7.018 4.036
-0.001 0.014 8.096
Pa Al U
2 6 1
Cartesian
3.148 4.688 8.088 Pa
0.000 2.344 4.044 Pa
1.574 2.343 6.746 Al
1.575 2.334 1.342 Al
1.572 4.698 10.790 Al
1.574 4.689 5.386 Al
1.575 0.005 2.692 Al
1.573 7.027 9.439 Al
0.000 0.000 0.000 U
```

Results
Size of the total moment = 2.64 Bohr magnetons per cell
DFT total energy = -6.0682 eV/atom
Formation energy = -209 meV/atom
SG = P6/mmm, No. 191